First-principles (PBE-GGA) data for an optimized crystal structure of Pr5HoTe6, as listed in OQMD via LeMat-Bulk.

Calculated total energy, eV for the cell shown: -64.23
M_tot, μB per cell: 0.0

Cell lengths 7.7968, 7.7968, 7.7690 Å; angles 99.58, 99.58, 120.00 degrees
With the nearest neighbours (Å) after each atom.
Sites, in units of the cell vectors:
Pr 0.6676 0.3324 0.0000  6 Te 3.18-3.23
Te 0.7618 0.7618 0.2498  1 Ho 3.10, 5 Pr 3.23-3.25
Pr 0.1764 0.8236 0.5000  6 Te 3.18-3.24
Pr 0.8236 0.1764 0.5000  6 Te 3.18-3.24
Te 0.0806 0.4017 0.2420  1 Ho 3.07, 5 Pr 3.18-3.20
Te 0.4017 0.0806 0.2420  1 Ho 3.07, 5 Pr 3.18-3.20
Te 0.2382 0.2382 0.7502  1 Ho 3.10, 5 Pr 3.23-3.25
Te 0.5983 0.9194 0.7580  1 Ho 3.07, 5 Pr 3.18-3.20
Ho 0.0000 0.0000 0.0000  6 Te 3.07-3.10
Pr 0.5000 0.5000 0.5000  6 Te 3.18-3.25
Pr 0.3324 0.6676 0.0000  6 Te 3.18-3.23
Te 0.9194 0.5983 0.7580  1 Ho 3.07, 5 Pr 3.18-3.20

First-principles (PBE-GGA) data for an optimized crystal structure of MgTaNO, as listed in OQMD via LeMat-Bulk.

Calculated total energy, eV for the cell shown: -58.86
M_tot, μB per cell: 0.0

Cell lengths 3.3526, 3.3526, 7.5468 Å; angles 90.00, 90.00, 90.00 degrees
With the nearest neighbours (Å) after each atom.
Sites, in units of the cell vectors:
O 0.0000 0.0000 0.0000  4 Ta 2.11
Mg 0.0000 0.0000 0.5000  4 N 2.28, 4 Mg 2.37
N 0.5000 0.0000 0.2956  4 Mg 2.28
Mg 0.5000 0.5000 0.5000  4 N 2.28, 4 Mg 2.37
Ta 0.0000 0.5000 0.1701  4 O 2.11
Ta 0.5000 0.0000 0.8299  4 O 2.11
O 0.5000 0.5000 0.0000  4 Ta 2.11
N 0.0000 0.5000 0.7044  4 Mg 2.28

First-principles (PBE-GGA) data for an optimized crystal structure of MgZrIr2, as listed in OQMD via LeMat-Bulk.

Calculated total energy, eV for the cell shown: -122.75
M_tot, μB per cell: 0.0

Cell lengths 6.2354, 6.2357, 6.8301 Å; angles 90.00, 90.00, 90.00 degrees
With the nearest neighbours (Å) after each atom.
Sites, in units of the cell vectors:
Mg 0.7500 0.2500 0.5000  8 Ir 2.79, 4 Zr 3.12
Zr 0.2500 0.2500 0.0000  8 Ir 2.79, 4 Mg 3.12
Ir 0.0000 0.0000 0.7500  4 Mg 2.79, 4 Zr 2.79, 4 Ir 3.12
Ir 0.5000 0.5000 0.7500  4 Mg 2.79, 4 Zr 2.79, 4 Ir 3.12
Ir 0.0000 0.5000 0.7500  4 Mg 2.79, 4 Zr 2.79, 4 Ir 3.12
Zr 0.7500 0.7500 0.5000  8 Ir 2.79, 4 Mg 3.12
Ir 0.0000 0.5000 0.2500  4 Mg 2.79, 4 Zr 2.79, 4 Ir 3.12
Zr 0.2500 0.2500 0.5000  8 Ir 2.79, 4 Mg 3.12
Mg 0.2500 0.7500 0.0000  8 Ir 2.79, 4 Zr 3.12
Zr 0.7500 0.7500 0.0000  8 Ir 2.79, 4 Mg 3.12
Mg 0.7500 0.2500 0.0000  8 Ir 2.79, 4 Zr 3.12
Ir 0.5000 0.0000 0.7500  4 Mg 2.79, 4 Zr 2.79, 4 Ir 3.12
Ir 0.0000 0.0000 0.2500  4 Mg 2.79, 4 Zr 2.79, 4 Ir 3.12
Ir 0.5000 0.5000 0.2500  4 Mg 2.79, 4 Zr 2.79, 4 Ir 3.12
Mg 0.2500 0.7500 0.5000  8 Ir 2.79, 4 Zr 3.12
Ir 0.5000 0.0000 0.2500  4 Mg 2.79, 4 Zr 2.79, 4 Ir 3.12

First-principles (PBE-GGA) data for an optimized crystal structure of Te2IrO4, as listed in OQMD via LeMat-Bulk.

Calculated total energy, eV for the cell shown: -70.52
M_tot, μB per cell: 0.0

Cell lengths 6.9152, 6.9152, 6.9152 Å; angles 119.96, 90.06, 119.96 degrees
With the nearest neighbours (Å) after each atom.
Sites, in units of the cell vectors:
Ir 0.7500 0.5000 0.2500  4 O 1.87
O 0.1105 0.2212 0.8894  1 Ir 1.87
O 0.6394 0.2788 0.9182  1 Ir 1.87
O 0.6395 0.2788 0.3606  1 Ir 1.87
O 0.0818 0.7212 0.3606  1 Ir 1.87
O 0.1106 0.7788 0.8895  1 Ir 1.87
Te 0.3750 0.7500 0.1250  6 O 2.59
O 0.6682 0.7788 0.8894  1 Ir 1.87
Te 0.3750 0.2500 0.6250  6 O 2.59-2.60
O 0.6394 0.7212 0.3605  1 Ir 1.87
Te 0.3750 0.7500 0.6250  6 O 2.59-2.60
Ir 0.0000 0.0000 0.0000  4 O 1.87
Te 0.8750 0.2500 0.6250  6 O 2.59-2.60
O 0.1106 0.2212 0.3318  1 Ir 1.87

First-principles (PBE-GGA) data for an optimized crystal structure of Ba2ZnTeO6, as listed in OQMD via LeMat-Bulk.

Calculated total energy, eV for the cell shown: -114.81

Cell lengths 5.7741, 5.7770, 8.1825 Å; angles 90.01, 90.00, 90.05 degrees
With the nearest neighbours (Å) after each atom.
Sites, in units of the cell vectors:
O 0.9490 0.0502 0.2391  1 Te 1.96, 1 Zn 2.14
O 0.1874 0.8088 0.0004  1 Te 1.96, 1 Zn 2.13
Ba 0.4500 0.0499 0.7500  12 O 2.86-2.92
O 0.9510 0.0504 0.7609  1 Te 1.96, 1 Zn 2.13
O 0.7129 0.2920 0.9996  1 Te 1.96, 1 Zn 2.13
O 0.7079 0.8131 0.9993  1 Te 1.96, 1 Zn 2.13
O 0.1922 0.2875 0.0007  1 Te 1.96, 1 Zn 2.12
Zn 0.4501 0.5502 0.0000  6 O 2.12-2.13
Ba 0.9501 0.5500 0.7501  12 O 2.86-2.92
Zn 0.9499 0.0498 0.5000  6 O 2.13-2.14
Te 0.9501 0.0503 0.0000  6 O 1.96
O 0.4508 0.5501 0.2609  1 Te 1.96, 1 Zn 2.13
Te 0.4499 0.5497 0.5000  6 O 1.96
O 0.2058 0.3145 0.4993  1 Te 1.96, 1 Zn 2.13
O 0.2146 0.7932 0.4998  1 Te 1.96, 1 Zn 2.13
Ba 0.9500 0.5502 0.2499  12 O 2.86-2.92
O 0.6851 0.3060 0.5002  1 Te 1.96, 1 Zn 2.13
Ba 0.4499 0.0500 0.2500  12 O 2.87-2.92
O 0.4491 0.5492 0.7391  1 Te 1.96, 1 Zn 2.13
O 0.6942 0.7848 0.5008  1 Te 1.96, 1 Zn 2.13

First-principles (PBE-GGA) data for an optimized crystal structure of CoCu5Sn2, as listed in OQMD via LeMat-Bulk.

Calculated total energy, eV for the cell shown: -32.69
M_tot, μB per cell: 1.2

Cell lengths 4.3037, 4.3037, 6.0971 Å; angles 90.00, 90.00, 90.00 degrees
With the nearest neighbours (Å) after each atom.
Sites, in units of the cell vectors:
Co 0.5000 0.5000 0.0000  8 Cu 2.64
Cu 0.0000 0.5000 0.2501  4 Sn 2.64, 2 Cu 2.64, 2 Co 2.64
Cu 0.0000 0.5000 0.7499  4 Sn 2.64, 2 Cu 2.64, 2 Co 2.64
Cu 0.0000 0.0000 0.5000  8 Cu 2.64
Cu 0.5000 0.0000 0.2501  4 Sn 2.64, 2 Cu 2.64, 2 Co 2.64
Sn 0.5000 0.5000 0.5000  8 Cu 2.64
Sn 0.0000 0.0000 0.0000  8 Cu 2.64
Cu 0.5000 0.0000 0.7499  4 Sn 2.64, 2 Cu 2.64, 2 Co 2.64

First-principles (PBE-GGA) data for an optimized crystal structure of CdPtSO, as listed in OQMD via LeMat-Bulk.

Calculated total energy, eV for the cell shown: -69.70
M_tot, μB per cell: 0.0

Cell lengths 7.4281, 5.8391, 6.1133 Å; angles 90.00, 90.00, 90.00 degrees
With the nearest neighbours (Å) after each atom.
Sites, in units of the cell vectors:
O 0.5543 0.8868 0.2104  2 Pt 2.11-2.14
Pt 0.5038 0.1833 0.0143  2 O 2.11-2.14, 2 S 2.29-2.31
S 0.0367 0.9793 0.1729  2 Pt 2.29-2.31, 1 Cd 2.54
S 0.9633 0.4793 0.3271  2 Pt 2.29-2.31, 1 Cd 2.54
Pt 0.0038 0.3167 0.9857  2 O 2.11-2.14, 2 S 2.29-2.31
Cd 0.7852 0.8003 0.9491  3 O 2.40-2.62, 2 S 2.54-2.57
Cd 0.2148 0.3003 0.5509  3 O 2.40-2.62, 2 S 2.54-2.57
O 0.0543 0.6132 0.7896  2 Pt 2.11-2.14
Pt 0.9962 0.8167 0.5143  2 O 2.11-2.14, 2 S 2.29-2.31
Pt 0.4962 0.6833 0.4857  2 O 2.11-2.14, 2 S 2.29-2.31
O 0.9457 0.1132 0.7104  2 Pt 2.11-2.14
S 0.4633 0.0207 0.6729  2 Pt 2.29-2.31, 1 Cd 2.54
Cd 0.7148 0.1997 0.4491  3 O 2.40-2.62, 2 S 2.54-2.57
S 0.5367 0.5207 0.8271  2 Pt 2.29-2.31, 1 Cd 2.54
O 0.4457 0.3868 0.2896  2 Pt 2.11-2.14
Cd 0.2852 0.6997 0.0509  3 O 2.40-2.62, 2 S 2.54-2.57

First-principles (PBE-GGA) data for an optimized crystal structure of HoNpPd, as listed in OQMD via LeMat-Bulk.

Calculated total energy, eV for the cell shown: -21.03
M_tot, μB per cell: 4.6

Cell lengths 4.7479, 4.7479, 4.7479 Å; angles 60.00, 60.00, 60.00 degrees
With the nearest neighbours (Å) after each atom.
Sites, in units of the cell vectors:
Ho 0.2500 0.2500 0.2500  4 Np 2.91
Pd 0.7500 0.7500 0.7500  4 Np 2.91
Np 0.0000 0.0000 0.0000  4 Ho 2.91, 4 Pd 2.91